1.
Material: La7PmCo3
Method: DFT, PBE-GGA
State: relaxed

energy of formation from the pure elements	-0.07	eV per atom
space group	No. 156
total magnetization	0.0	μB per cell
crystal system	trigonal
DFT total energy	-61.286	eV for the cell shown

abc: 6.508 7.864 7.864
angles: 120.00 90.00 90.00
Sites, in units of the cell vectors:
La1 0.542 0.666 0.833
Co1 0.785 0.500 0.000
Pm1 0.543 0.667 0.333
La2 0.021 0.333 0.667
Co2 0.785 0.000 0.500
La3 0.542 0.167 0.334
La4 0.024 0.336 0.168
La5 0.024 0.832 0.664
Co3 0.785 0.500 0.500
La6 0.024 0.832 0.168
La7 0.542 0.167 0.833

=====

2.
Material: La2Pm3Co2
Method: DFT, PBE-GGA
State: relaxed

energy of formation from the pure elements	-0.09	eV per atom
space group	No. 12
total magnetization	0.0	μB per cell
crystal system	monoclinic
DFT total energy	-38.959	eV for the cell shown

abc: 3.769 6.473 9.230
angles: 113.41 90.00 106.92
Sites, in units of the cell vectors:
Pm1 0.383 0.765 0.585
Co1 0.815 0.629 0.755
Pm2 0.617 0.235 0.415
Co2 0.185 0.371 0.245
Pm3 0.500 0.000 0.000
La1 0.824 0.647 0.199
La2 0.176 0.353 0.801

=====

3.
Material: LaPm3Co
Method: DFT, PBE-GGA
State: relaxed

energy of formation from the pure elements	0.05	eV per atom
space group	No. 221
total magnetization	1.6	μB per cell
crystal system	cubic
ΔE to the lowest computed polymorph	130	meV/atom
DFT total energy	-26.013	eV for the cell shown

abc: 5.457 5.457 5.457
angles: 90.00 90.00 90.00
Site moments in Bohr magnetons follow the coordinates.
Sites, in units of the cell vectors:
Pm1 0.000 0.500 0.000  0.10
La1 0.500 0.500 0.500  0.29
Co1 0.000 0.000 0.000  0.21
Pm2 0.500 0.000 0.000  0.10
Pm3 0.000 0.000 0.500  0.10

=====

Look up the total magnetization of the second one.
0.0 μB per cell